[1]
Below is TiFe2ReSe after structural relaxation, with properties calculated at the PBE level.

```
data_TiFe2ReSe
_chemical_formula_sum 'Ti1 Fe2 Re1 Se1'
_symmetry_space_group_name_H-M 'P 4/m m m'
_symmetry_Int_Tables_number 123
_symmetry_space_group_name_Hall '-P 4 2'
_cell_length_a 4.267
_cell_length_b 4.267
_cell_length_c 4.677
_cell_angle_alpha 90.00
_cell_angle_beta 90.00
_cell_angle_gamma 90.00
loop_
_atom_site_label
_atom_site_type_symbol
_atom_site_fract_x
_atom_site_fract_y
_atom_site_fract_z
Ti1 Ti 0.000 0.000 0.000
Fe1 Fe 0.000 0.500 0.000
Re1 Re 0.000 0.000 0.500
Se1 Se 0.500 0.500 0.500
```

=====

[2]
Below is Fe2ReSi after structural relaxation, with properties calculated at the PBE level.

```
data_Fe2ReSi
_chemical_formula_sum 'Fe2 Re1 Si1'
_symmetry_space_group_name_H-M 'P m m 2'
_symmetry_Int_Tables_number 25
_cell_length_a 2.662
_cell_length_b 3.634
_cell_length_c 5.060
_cell_angle_alpha 90.00
_cell_angle_beta 90.00
_cell_angle_gamma 90.00
loop_
_symmetry_equiv_pos_as_xyz
'x,y,z'
'-x,-y,z'
'-x,y,z'
'x,-y,z'
loop_
_atom_site_label
_atom_site_type_symbol
_atom_site_fract_x
_atom_site_fract_y
_atom_site_fract_z
Fe1 Fe 0.000 0.000 0.000
Fe2 Fe 0.500 0.500 0.265
Re1 Re 0.000 0.000 0.494
Si1 Si 0.500 0.500 0.786
```

=====

[3]
# FeRe3Si, relaxed, DFT PBE
# Energy relative to the lowest polymorph listed for this composition (meV per atom): 124.7
data_FeRe3Si
_chemical_formula_sum 'Fe1 Re3 Si1'
_symmetry_space_group_name_H-M 'P m -3 m'
_symmetry_Int_Tables_number 221
_symmetry_space_group_name_Hall '-P 4 2 3'
_cell_length_a 4.399
_cell_length_b 4.399
_cell_length_c 4.399
_cell_angle_alpha 90.00
_cell_angle_beta 90.00
_cell_angle_gamma 90.00
loop_
_atom_site_label
_atom_site_type_symbol
_atom_site_fract_x
_atom_site_fract_y
_atom_site_fract_z
Fe1 Fe 0.000 0.000 0.000
Re1 Re 0.000 0.000 0.500
Si1 Si 0.500 0.500 0.500

=====

[4]
Below is Fe14ReSi after structural relaxation, with properties calculated at the PBE level.

```
data_Fe14ReSi
_chemical_formula_sum 'Fe28 Re2 Si2'
_symmetry_space_group_name_H-M 'C m m m'
_symmetry_Int_Tables_number 65
_symmetry_space_group_name_Hall '-C 2 2'
_cell_length_a 5.756
_cell_length_b 8.017
_cell_length_c 8.031
_cell_angle_alpha 90.00
_cell_angle_beta 90.00
_cell_angle_gamma 90.00
loop_
_atom_site_label
_atom_site_type_symbol
_atom_site_fract_x
_atom_site_fract_y
_atom_site_fract_z
Fe1 Fe 0.000 0.000 0.000
Fe2 Fe 0.000 0.250 0.249
Fe3 Fe 0.000 0.500 0.000
Fe4 Fe 0.247 0.000 0.248
Fe5 Fe 0.250 0.250 0.000
Fe6 Fe 0.250 0.250 0.500
Re1 Re 0.000 0.500 0.500
Si1 Si 0.000 0.000 0.500
```

=====

[5]
Below is FeRe4Si after structural relaxation, with properties calculated at the PBE level.

```
data_FeRe4Si
_chemical_formula_sum 'Fe4 Re16 Si4'
_symmetry_space_group_name_H-M 'F -4 3 m'
_symmetry_Int_Tables_number 216
_symmetry_space_group_name_Hall 'F -4 2 3'
_cell_length_a 7.263
_cell_length_b 7.263
_cell_length_c 7.263
_cell_angle_alpha 90.00
_cell_angle_beta 90.00
_cell_angle_gamma 90.00
loop_
_atom_site_label
_atom_site_type_symbol
_atom_site_fract_x
_atom_site_fract_y
_atom_site_fract_z
Fe1 Fe 0.000 0.000 0.000
Re1 Re 0.125 0.125 0.625
Si1 Si 0.250 0.250 0.250
```

=====

[6]
# Fe3ReSi, relaxed, DFT PBE
# Energy relative to the lowest polymorph listed for this composition (meV per atom): 0.0
data_Fe3ReSi
_chemical_formula_sum 'Fe3 Re1 Si1'
_symmetry_space_group_name_H-M 'P m -3 m'
_symmetry_Int_Tables_number 221
_symmetry_space_group_name_Hall '-P 4 2 3'
_cell_length_a 4.120
_cell_length_b 4.120
_cell_length_c 4.120
_cell_angle_alpha 90.00
_cell_angle_beta 90.00
_cell_angle_gamma 90.00
loop_
_atom_site_label
_atom_site_type_symbol
_atom_site_fract_x
_atom_site_fract_y
_atom_site_fract_z
Fe1 Fe 0.000 0.000 0.500
Re1 Re 0.500 0.500 0.500
Si1 Si 0.000 0.000 0.000

=====

[7]
Below is Fe2ReSi after structural relaxation, with properties calculated at the PBE level.

```
data_Fe2ReSi
_chemical_formula_sum 'Fe4 Re2 Si2'
_symmetry_space_group_name_H-M 'I 4/m m m'
_symmetry_Int_Tables_number 139
_symmetry_space_group_name_Hall '-I 4 2'
_cell_length_a 3.712
_cell_length_b 3.712
_cell_length_c 6.898
_cell_angle_alpha 90.00
_cell_angle_beta 90.00
_cell_angle_gamma 90.00
loop_
_atom_site_label
_atom_site_type_symbol
_atom_site_fract_x
_atom_site_fract_y
_atom_site_fract_z
Fe1 Fe 0.000 0.500 0.250
Re1 Re 0.000 0.000 0.000
Si1 Si 0.000 0.000 0.500
```

=====

[8]
Below is Fe2ReSi after structural relaxation, with properties calculated at the PBE level.

```
data_Fe2ReSi
_chemical_formula_sum 'Fe4 Re2 Si2'
_symmetry_space_group_name_H-M 'I -4 m 2'
_symmetry_Int_Tables_number 119
_symmetry_space_group_name_Hall 'I -4 -2'
_cell_length_a 3.609
_cell_length_b 3.609
_cell_length_c 7.451
_cell_angle_alpha 90.00
_cell_angle_beta 90.00
_cell_angle_gamma 90.00
loop_
_atom_site_label
_atom_site_type_symbol
_atom_site_fract_x
_atom_site_fract_y
_atom_site_fract_z
Fe1 Fe 0.000 0.000 0.000
Fe2 Fe 0.000 0.500 0.250
Re1 Re 0.000 0.500 0.750
Si1 Si 0.000 0.000 0.500
```

=====

[9]
Below is Fe2ReSi after structural relaxation, with properties calculated at the PBE level.

```
data_Fe2ReSi
_chemical_formula_sum 'Fe2 Re1 Si1'
_symmetry_space_group_name_H-M 'P 4 m m'
_symmetry_Int_Tables_number 99
_cell_length_a 2.894
_cell_length_b 2.894
_cell_length_c 5.780
_cell_angle_alpha 90.00
_cell_angle_beta 90.00
_cell_angle_gamma 90.00
loop_
_symmetry_equiv_pos_as_xyz
'x,y,z'
'-y,x,z'
'-x,-y,z'
'y,-x,z'
'-x,y,z'
'y,x,z'
'x,-y,z'
'-y,-x,z'
loop_
_atom_site_label
_atom_site_type_symbol
_atom_site_fract_x
_atom_site_fract_y
_atom_site_fract_z
Fe1 Fe 0.000 0.000 0.000
Fe2 Fe 0.500 0.500 0.241
Re1 Re 0.000 0.000 0.508
Si1 Si 0.500 0.500 0.786
```

=====

[10]
Below is Fe2ReSi after structural relaxation, with properties calculated at the PBE level.

```
data_Fe2ReSi
_chemical_formula_sum 'Fe2 Re1 Si1'
_symmetry_space_group_name_H-M 'P 4/m m m'
_symmetry_Int_Tables_number 123
_symmetry_space_group_name_Hall '-P 4 2'
_cell_length_a 2.703
_cell_length_b 2.703
_cell_length_c 6.322
_cell_angle_alpha 90.00
_cell_angle_beta 90.00
_cell_angle_gamma 90.00
loop_
_atom_site_label
_atom_site_type_symbol
_atom_site_fract_x
_atom_site_fract_y
_atom_site_fract_z
Fe1 Fe 0.000 0.000 0.220
Re1 Re 0.500 0.500 0.500
Si1 Si 0.500 0.500 0.000
```

=====

[11]
# FeRe2Si4, relaxed, DFT PBE
# Energy relative to the lowest polymorph listed for this composition (meV per atom): 0.0
data_FeRe2Si4
_chemical_formula_sum 'Fe2 Re4 Si8'
_symmetry_space_group_name_H-M 'C 1 2/m 1'
_symmetry_Int_Tables_number 12
_cell_length_a 13.038
_cell_length_b 3.067
_cell_length_c 5.358
_cell_angle_alpha 90.00
_cell_angle_beta 113.27
_cell_angle_gamma 90.00
loop_
_symmetry_equiv_pos_as_xyz
'x,y,z'
'-x,-y,-z'
'-x,y,-z'
'x,-y,z'
'x+1/2,y+1/2,z'
'-x+1/2,-y+1/2,-z'
'-x+1/2,y+1/2,-z'
'x+1/2,-y+1/2,z'
loop_
_atom_site_label
_atom_site_type_symbol
_atom_site_fract_x
_atom_site_fract_y
_atom_site_fract_z
Fe1 Fe 0.000 0.000 0.000
Re1 Re 0.248 0.000 0.248
Si1 Si 0.104 0.500 0.307
Si2 Si 0.107 0.000 0.759

=====

[12]
Below is Fe2ReSi after structural relaxation, with properties calculated at the PBE level.

```
data_Fe2ReSi
_chemical_formula_sum 'Fe4 Re2 Si2'
_symmetry_space_group_name_H-M 'C m m m'
_symmetry_Int_Tables_number 65
_symmetry_space_group_name_Hall '-C 2 2'
_cell_length_a 5.285
_cell_length_b 6.739
_cell_length_c 2.682
_cell_angle_alpha 90.00
_cell_angle_beta 90.00
_cell_angle_gamma 90.00
loop_
_atom_site_label
_atom_site_type_symbol
_atom_site_fract_x
_atom_site_fract_y
_atom_site_fract_z
Fe1 Fe 0.250 0.250 0.000
Re1 Re 0.000 0.000 0.500
Si1 Si 0.000 0.500 0.500
```

=====

[13]
Below is Fe2ReSi after structural relaxation, with properties calculated at the PBE level.

```
data_Fe2ReSi
_chemical_formula_sum 'Fe4 Re2 Si2'
_symmetry_space_group_name_H-M 'I m m m'
_symmetry_Int_Tables_number 71
_symmetry_space_group_name_Hall '-I 2 2'
_cell_length_a 2.941
_cell_length_b 4.012
_cell_length_c 8.168
_cell_angle_alpha 90.00
_cell_angle_beta 90.00
_cell_angle_gamma 90.00
loop_
_atom_site_label
_atom_site_type_symbol
_atom_site_fract_x
_atom_site_fract_y
_atom_site_fract_z
Fe1 Fe 0.000 0.000 0.237
Re1 Re 0.000 0.500 0.000
Si1 Si 0.000 0.500 0.500
```

=====

[14]
# Fe3ReSi, relaxed, DFT PBE
# Energy relative to the lowest polymorph listed for this composition (meV per atom): 619.6
data_Fe3ReSi
_chemical_formula_sum 'Fe3 Re1 Si1'
_symmetry_space_group_name_H-M 'P m -3 m'
_symmetry_Int_Tables_number 221
_symmetry_space_group_name_Hall '-P 4 2 3'
_cell_length_a 4.482
_cell_length_b 4.482
_cell_length_c 4.482
_cell_angle_alpha 90.00
_cell_angle_beta 90.00
_cell_angle_gamma 90.00
loop_
_atom_site_label
_atom_site_type_symbol
_atom_site_fract_x
_atom_site_fract_y
_atom_site_fract_z
Fe1 Fe 0.000 0.000 0.500
Re1 Re 0.000 0.000 0.000
Si1 Si 0.500 0.500 0.500

=====

no.,formation energy from raw total energies (eV/atom)
1,1.688
2,-0.040
3,1.689
4,-0.040
5,0.733
6,1.003
7,-0.073
8,-0.099
9,-0.122
10,-0.263
11,-0.197
12,-0.048
13,-0.136
14,1.623